VASP calculation (PBE) on crystalline Y2TaV at its relaxed geometry.

Space-group type: Fm-3m

abc: 5.1195 5.1195 5.1195
angles: 60.00 60.00 60.00
Fractional coordinates of all 4 atoms:
Y  0.2500  0.2500  0.2500
Y  0.7500  0.7500  0.7500
V  0.0000  0.0000  0.0000
Ta  0.5000  0.5000  0.5000

---

VASP calculation (PBE) on crystalline YTa3V at its relaxed geometry.

Space-group type: Pm-3m

abc: 4.7660 4.7660 4.7660
angles: 90.00 90.00 90.00
Fractional coordinates of all 5 atoms:
Ta  0.5000  0.0000  0.0000
Ta  0.0000  0.0000  0.5000
Ta  0.0000  0.5000  0.0000
V  0.0000  0.0000  0.0000
Y  0.5000  0.5000  0.5000

---

VASP calculation (PBE) on crystalline YTa3V at its relaxed geometry.

Space-group type: Pm-3m

abc: 4.8834 4.8834 4.8834
angles: 90.00 90.00 90.00
Fractional coordinates of all 5 atoms:
V  0.5000  0.5000  0.5000
Ta  0.0000  0.0000  0.5000
Ta  0.5000  0.0000  0.0000
Ta  0.0000  0.5000  0.0000
Y  0.0000  0.0000  0.0000

---

VASP calculation (PBE) on crystalline YTa2V2 at its relaxed geometry.

Space-group type: P4/mbm

abc: 7.7237 7.7237 3.2074
angles: 90.00 90.00 90.00
Fractional coordinates of all 10 atoms:
V  0.8660  0.6340  0.0000
V  0.6340  0.1340  0.0000
V  0.1340  0.3660  0.0000
V  0.3660  0.8660  0.0000
Ta  0.6409  0.8591  0.5000
Ta  0.8591  0.3591  0.5000
Ta  0.1409  0.6409  0.5000
Ta  0.3591  0.1409  0.5000
Y  0.0000  0.0000  0.0000
Y  0.5000  0.5000  0.0000

---

VASP calculation (PBE) on crystalline YTaV3 at its relaxed geometry.

Space-group type: Pm-3m

abc: 4.7081 4.7081 4.7081
angles: 90.00 90.00 90.00
Fractional coordinates of all 5 atoms:
V  0.5000  0.0000  0.0000
V  0.0000  0.5000  0.0000
V  0.0000  0.0000  0.5000
Ta  0.0000  0.0000  0.0000
Y  0.5000  0.5000  0.5000

---

VASP calculation (PBE) on crystalline Y2TaV at its relaxed geometry.

Space-group type: I-42d

abc: 7.9955 7.9955 6.4047
angles: 51.38 51.38 90.00
Fractional coordinates of all 8 atoms:
V  0.5000  0.5000  0.0000
V  0.2500  0.7500  0.5000
Ta  0.0000  0.0000  0.0000
Ta  0.7500  0.2500  0.5000
Y  0.1497  0.6250  0.2500
Y  0.3750  0.3997  0.7500
Y  0.6003  0.1250  0.2500
Y  0.8750  0.8503  0.7500

---

| no. | energy of formation (meV per atom) | final energy (eV per atom) | D(E_F) (states/eV per cell) |
| --- | --- | --- | --- |
| 1 | 526.1 | -7.95 | 3.897 |
| 2 | 806.0 | -9.42 | 4.969 |
| 3 | 2517.0 | -7.71 | 6.890 |
| 4 | 316.1 | -9.37 | 9.177 |
| 5 | 996.3 | -8.14 | 7.986 |
| 6 | 950.2 | -7.52 | 8.873 |